# 1
VASP calculation (PBEsol) on NbGaI2 after structural relaxation. Values from VASP.

Cell and atoms, written as Quantum ESPRESSO input:
```
&SYSTEM
  ibrav = 0, nat = 4, ntyp = 3
/
ATOMIC_SPECIES
Nb 92.91 Nb.upf
I 126.90 I.upf
Ga 69.72 Ga.upf
CELL_PARAMETERS angstrom
4.998 0.000 0.000
2.499 4.328 0.000
2.499 1.443 4.081
ATOMIC_POSITIONS angstrom
Nb 4.998 2.886 2.040
I 2.499 1.443 1.020
I 7.497 4.328 3.061
Ga 0.000 0.000 0.000
```

Summary:
Raw formation energy: 0.345 eV/atom
Size of the total moment: 0.0 μB per cell
Space-group type: Fm-3m, No. 225



# 2
VASP calculation (PBEsol) on Cr2Hg2P after structural relaxation. Values from VASP.

Cell and atoms, written as Quantum ESPRESSO input:
```
&SYSTEM
  ibrav = 0, nat = 5, ntyp = 3
/
ATOMIC_SPECIES
P 30.97 P.upf
Cr 52.00 Cr.upf
Hg 200.59 Hg.upf
CELL_PARAMETERS angstrom
3.739 0.000 0.000
0.000 3.739 0.000
-1.870 -1.870 6.442
ATOMIC_POSITIONS angstrom
P 0.000 0.000 0.000
Cr 0.000 0.000 5.491
Cr 1.870 1.870 0.951
Hg 0.000 1.870 3.221
Hg 1.870 0.000 3.221
```

Summary:
Size of the total moment: 2.8 μB per cell
E_form: 0.774 eV/atom
Space-group type: I4/mmm, No. 139



# 3
VASP calculation (PBEsol) on SrHg2Ir after structural relaxation. Values from VASP.

Cell and atoms, written as Quantum ESPRESSO input:
```
&SYSTEM
  ibrav = 0, nat = 4, ntyp = 3
/
ATOMIC_SPECIES
Ir 192.22 Ir.upf
Sr 87.62 Sr.upf
Hg 200.59 Hg.upf
CELL_PARAMETERS angstrom
-0.040 4.559 -0.937
-0.086 1.467 -4.416
-5.295 1.982 -1.690
ATOMIC_POSITIONS angstrom
Ir -1.719 4.009 -3.540
Sr -3.962 6.006 -5.285
Hg -0.686 6.023 -5.344
Hg -1.999 1.999 -1.749
```

Summary:
Size of the total moment: 0.0 μB per cell
E_form: -0.090 eV/atom
Space-group type: R3m, No. 160



# 4
VASP calculation (PBEsol) on SrNiMo3 after structural relaxation. Values from VASP.

Cell and atoms, written as Quantum ESPRESSO input:
```
&SYSTEM
  ibrav = 0, nat = 5, ntyp = 3
/
ATOMIC_SPECIES
Sr 87.62 Sr.upf
Mo 95.94 Mo.upf
Ni 58.69 Ni.upf
CELL_PARAMETERS angstrom
-0.840 0.277 4.494
3.954 -2.141 0.871
2.153 4.039 0.154
ATOMIC_POSITIONS angstrom
Sr 0.000 0.000 0.000
Mo 1.077 2.020 0.077
Mo 1.977 -1.070 0.436
Mo -0.420 0.138 2.247
Ni 2.633 1.088 2.759
```

Summary:
Size of the total moment: 0.0 μB per cell
E_form: 3.272 eV/atom
Space-group type: Pm-3m, No. 221



# 5
VASP calculation (PBEsol) on Fe2RePt after structural relaxation. Values from VASP.

Cell and atoms, written as Quantum ESPRESSO input:
```
&SYSTEM
  ibrav = 0, nat = 4, ntyp = 3
/
ATOMIC_SPECIES
Fe 55.84 Fe.upf
Pt 195.08 Pt.upf
Re 186.21 Re.upf
CELL_PARAMETERS angstrom
-2.330 1.139 0.502
0.127 -0.843 2.500
3.445 6.206 1.917
ATOMIC_POSITIONS angstrom
Fe 0.880 1.586 0.490
Fe 2.565 4.620 1.427
Pt -1.102 0.148 1.501
Re 0.621 3.251 2.459
```

Summary:
Size of the total moment: 3.8 μB per cell
E_form: -0.013 eV/atom
Space-group type: P4/mmm, No. 123



# 6
VASP calculation (PBEsol) on BeIr3 after structural relaxation. Values from VASP.

Cell and atoms, written as Quantum ESPRESSO input:
```
&SYSTEM
  ibrav = 0, nat = 4, ntyp = 2
/
ATOMIC_SPECIES
Be 9.01 Be.upf
Ir 192.22 Ir.upf
CELL_PARAMETERS angstrom
-2.484 -0.523 -1.040
-0.540 -1.653 2.121
-2.477 5.107 3.347
ATOMIC_POSITIONS angstrom
Be 0.000 0.000 0.000
Ir -3.465 2.938 3.180
Ir -1.239 2.553 1.674
Ir -2.036 -0.008 1.249
```

Summary:
Size of the total moment: 0.0 μB per cell
E_form: -0.239 eV/atom
Space-group type: P4/mmm, No. 123



# 7
VASP calculation (PBEsol) on InCuNF2 after structural relaxation. Values from VASP.

Cell and atoms, written as Quantum ESPRESSO input:
```
&SYSTEM
  ibrav = 0, nat = 5, ntyp = 4
/
ATOMIC_SPECIES
In 114.82 In.upf
F 19.00 F.upf
N 14.01 N.upf
Cu 63.55 Cu.upf
CELL_PARAMETERS angstrom
-3.744 -0.088 0.556
-0.482 -1.433 -3.471
0.317 -3.816 1.531
ATOMIC_POSITIONS angstrom
In -1.954 -2.668 -0.692
F -1.872 -0.044 0.278
F -0.241 -0.716 -1.736
N 0.158 -1.908 0.766
Cu 0.000 0.000 0.000
```

Summary:
Raw formation energy: -0.515 eV/atom
Size of the total moment: 0.0 μB per cell
Space-group type: P4/mmm, No. 123



# 8
VASP calculation (PBEsol) on Y2SbO after structural relaxation. Values from VASP.

Cell and atoms, written as Quantum ESPRESSO input:
```
&SYSTEM
  ibrav = 0, nat = 4, ntyp = 3
/
ATOMIC_SPECIES
O 16.00 O.upf
Sb 121.76 Sb.upf
Y 88.91 Y.upf
CELL_PARAMETERS angstrom
4.911 0.000 0.000
2.455 4.253 0.000
2.455 1.418 4.009
ATOMIC_POSITIONS angstrom
O 0.000 0.000 0.000
Sb 4.911 2.835 2.005
Y 7.366 4.253 3.007
Y 2.455 1.418 1.002
```

Summary:
Raw formation energy: -1.116 eV/atom
Size of the total moment: 0.0 μB per cell
Space-group type: Fm-3m, No. 225



# 9
VASP calculation (PBEsol) on TiP2O7 after structural relaxation. Values from VASP.

Cell and atoms, written as Quantum ESPRESSO input:
```
&SYSTEM
  ibrav = 0, nat = 20, ntyp = 3
/
ATOMIC_SPECIES
P 30.97 P.upf
O 16.00 O.upf
Ti 47.87 Ti.upf
CELL_PARAMETERS angstrom
6.346 -0.281 0.164
0.359 6.434 -0.184
3.035 -0.377 6.255
ATOMIC_POSITIONS angstrom
P 3.200 2.146 2.136
P 6.540 3.630 4.099
P 3.645 0.591 4.487
P 6.095 5.185 1.748
O 4.548 1.985 1.444
O 2.072 2.197 1.124
O 6.593 3.989 0.805
O 3.147 1.787 5.430
O 2.894 0.912 3.094
O 6.845 4.864 3.141
O 6.504 0.035 1.500
O 6.560 2.425 3.141
O 5.105 0.509 4.412
O 3.179 3.351 3.094
O 3.236 5.741 4.735
O 5.192 3.791 4.791
O 4.635 5.267 1.822
O 7.668 3.579 5.110
Ti 6.470 1.873 1.348
Ti 3.270 3.903 4.887
```

Summary:
Raw formation energy: -2.405 eV/atom
Size of the total moment: 0.1 μB per cell
Space-group type: P-1, No. 2



# 10
VASP calculation (PBEsol) on Cu2RhAu after structural relaxation. Values from VASP.

Cell and atoms, written as Quantum ESPRESSO input:
```
&SYSTEM
  ibrav = 0, nat = 4, ntyp = 3
/
ATOMIC_SPECIES
Au 196.97 Au.upf
Cu 63.55 Cu.upf
Rh 102.91 Rh.upf
CELL_PARAMETERS angstrom
2.992 0.000 0.000
0.000 3.025 0.000
0.000 0.000 5.878
ATOMIC_POSITIONS angstrom
Au 1.496 1.512 2.939
Cu 0.000 0.000 4.486
Cu 0.000 0.000 1.392
Rh 1.496 1.512 0.000
```

Summary:
Size of the total moment: 0.0 μB per cell
E_form: 0.055 eV/atom
Space-group type: Pmmm, No. 47



# 11
VASP calculation (PBEsol) on Si2SnSb after structural relaxation. Values from VASP.

Cell and atoms, written as Quantum ESPRESSO input:
```
&SYSTEM
  ibrav = 0, nat = 4, ntyp = 3
/
ATOMIC_SPECIES
Si 28.09 Si.upf
Sb 121.76 Sb.upf
Sn 118.71 Sn.upf
CELL_PARAMETERS angstrom
-3.405 1.435 3.178
-4.711 -0.823 -0.938
-2.460 -3.310 2.597
ATOMIC_POSITIONS angstrom
Si -2.644 -0.675 1.209
Si -7.931 -2.024 3.627
Sb -5.288 -1.349 2.418
Sn 0.000 0.000 0.000
```

Summary:
Raw formation energy: 0.418 eV/atom
Size of the total moment: 0.0 μB per cell
Space-group type: Fm-3m, No. 225



# 12
VASP calculation (PBEsol) on Co2PRh after structural relaxation. Values from VASP.

Cell and atoms, written as Quantum ESPRESSO input:
```
&SYSTEM
  ibrav = 0, nat = 4, ntyp = 3
/
ATOMIC_SPECIES
P 30.97 P.upf
Co 58.93 Co.upf
Rh 102.91 Rh.upf
CELL_PARAMETERS angstrom
-0.937 -1.032 2.297
3.448 -2.117 0.456
0.388 4.699 0.698
ATOMIC_POSITIONS angstrom
P -0.469 -0.516 1.148
Co 2.197 0.215 2.565
Co 0.702 1.335 0.886
Rh 1.724 -1.058 0.228
```

Summary:
Size of the total moment: 2.2 μB per cell
E_form: -0.301 eV/atom
Space-group type: Immm, No. 71